# 1
VASP calculation (PBE) on a relaxed structure of TlZn4Pb.

```
6
Lattice="0.000 3.973 3.973 3.973 0.000 3.973 3.973 3.973 0.000" Properties=species:S:1:pos:R:3 pbc="T T T"
Tl 0.000 0.000 0.000
Zn 2.980 4.967 4.967
Zn 4.967 4.967 2.980
Zn 4.967 2.980 4.967
Zn 2.980 2.980 2.980
Pb 5.960 5.960 5.960
```

Results
The space-group type is F-43m, No. 216. Its density is 8.91 g/cm³. For the energy of formation from the pure elements, the calculation gives 0.12 eV/atom. Its density of states at the Fermi level is 0.46 states/eV per atom.

***

# 2
VASP calculation (PBE) on a relaxed structure of Cs2NdSnS4.

```
16
Lattice="6.963 0.000 0.000 3.482 7.613 0.000 3.482 0.000 12.773" Properties=species:S:1:pos:R:3 pbc="T T T"
Cs 3.482 0.000 8.106
Cs 6.963 0.000 4.667
Cs 8.704 3.806 11.054
Cs 8.704 3.806 1.720
Nd 8.704 3.806 6.387
Nd 0.000 0.000 0.000
Sn 5.222 3.806 6.387
Sn 3.482 0.000 0.000
S 5.296 6.130 1.300
S 5.296 1.482 11.474
S 12.112 6.130 11.474
S 5.149 1.482 1.300
S 6.890 5.289 5.087
S 6.890 2.324 7.686
S 10.518 5.289 7.686
S 3.555 2.324 5.087
```

Results
The space-group type is Fddd, No. 70. Its density is 3.22 g/cm³. Its density of states at the Fermi level is 0.45 states/eV per atom. Its uncorrected formation energy is -1.078 eV/atom.

***

# 3
VASP calculation (PBE) on a relaxed structure of CaPm2PtO5.

```
18
Lattice="-1.718 3.800 4.134 -6.351 -1.821 -0.964 0.658 -4.753 4.643" Properties=species:S:1:pos:R:3 pbc="T T T"
Ca -2.846 -3.287 1.839
Ca 0.000 0.000 0.000
Pm -5.019 -0.148 2.221
Pm -1.743 0.031 3.418
Pm -5.668 -2.805 4.394
Pm -2.391 -2.626 5.591
Pt 0.329 -2.376 2.321
Pt -3.175 -0.911 -0.482
O -3.705 -1.387 3.906
O -0.859 1.900 2.067
O -0.927 -2.387 3.886
O -5.621 -2.295 1.851
O -2.583 -0.391 1.363
O -3.965 -4.291 4.373
O -1.790 -0.479 5.962
O -4.828 -2.382 6.449
O -6.483 -0.386 3.926
O -3.445 1.517 3.439
```

Results
The space-group type is P4/mbm, No. 127. Its density is 7.68 g/cm³. Its density of states at the Fermi level is 0.00 states/eV per atom. Its uncorrected formation energy is -2.524 eV/atom.

***

# 4
VASP calculation (PBE) on a relaxed structure of Nd6ErSc8.

```
15
Lattice="-7.638 -5.057 -1.606 -1.326 -7.997 4.559 -5.800 -1.457 5.244" Properties=species:S:1:pos:R:3 pbc="T T T"
Nd -8.028 -4.643 4.191
Nd -8.111 -7.549 1.523
Nd -4.905 -6.814 3.139
Nd -9.859 -7.697 5.057
Nd -6.654 -6.962 6.674
Nd -6.736 -9.868 4.006
Er 0.000 0.000 0.000
Sc -6.653 -4.596 1.158
Sc -10.788 -5.821 2.489
Sc -4.932 -4.297 5.319
Sc -10.862 -11.100 5.828
Sc -3.902 -3.411 2.368
Sc -9.832 -10.214 2.877
Sc -3.977 -8.690 5.708
Sc -8.111 -9.915 7.038
```

Results
The space-group type is R-3, No. 148. Its density is 5.26 g/cm³. For the energy of formation from the pure elements, the calculation gives 0.18 eV/atom. Its density of states at the Fermi level is 1.64 states/eV per atom.